1.
First-principles (PBE) data for ZnNiIr2 after structural relaxation, as listed in the Alexandria database.

For the energy of formation from the pure elements, the calculation gives -0.01 eV/atom.

a = 2.7350 Å, b = 2.7350 Å, c = 25.3431 Å
α = 90.00°, β = 90.00°, γ = 120.00°
With the nearest neighbours (Å) after each atom.
Space group R-3m (No. 166, hexagonal axes)
Symmetry-distinct sites (fractional):
Zn 0.0000 0.0000 0.0000 x3  6 Ir 2.69, 6 Zn 2.73
Ni 0.0000 0.0000 0.5000 x3  6 Ir 2.58, 6 Ni 2.73
Ir 0.0000 0.0000 0.2473 x6  3 Ni 2.58, 3 Zn 2.69, 6 Ir 2.73

2.
First-principles (PBE) data for LaCdAg after structural relaxation, as listed in the Alexandria database.

For the energy of formation from the pure elements, the calculation gives 0.14 eV/atom.

a = 7.2942 Å, b = 7.2942 Å, c = 7.2942 Å
α = 90.00°, β = 90.00°, γ = 90.00°
With the nearest neighbours (Å) after each atom.
Space group F-43m (No. 216)
Symmetry-distinct sites (fractional):
La 0.0000 0.0000 0.0000 x4  4 Cd 3.16, 4 Ag 3.16
Cd 0.2500 0.2500 0.2500 x4  4 La 3.16
Ag 0.2500 0.2500 0.7500 x4  4 La 3.16

3.
First-principles (PBE) data for ReAsOs3 after structural relaxation, as listed in the Alexandria database.

For the energy of formation from the pure elements, the calculation gives 2.02 eV/atom.

a = 4.4669 Å, b = 4.4669 Å, c = 4.4669 Å
α = 90.00°, β = 90.00°, γ = 90.00°
With the nearest neighbours (Å) after each atom.
Space group Pm-3m (No. 221)
Symmetry-distinct sites (fractional):
Re 0.0000 0.0000 0.0000 x1  12 Os 3.16
As 0.5000 0.5000 0.5000 x1  6 Os 2.23
Os 0.0000 0.5000 0.5000 x3  2 As 2.23

Q: Which formula does entry 3 have?
A: ReAsOs3

Q: Which formula does entry 2 have?
A: LaCdAg